Ca2P2O7 | SCAN | PBEsol geometry

a b c (Å): 5.332 8.456 12.667
angles (deg): 90.00 90.54 90.00
Fractional positions:
P  0.275  0.989  0.318
P  0.225  0.489  0.182
P  0.725  0.011  0.682
P  0.775  0.511  0.819
P  0.223  0.736  0.474
P  0.277  0.236  0.026
P  0.778  0.264  0.526
P  0.722  0.764  0.974
Ca  0.740  0.111  0.910
Ca  0.760  0.611  0.590
Ca  0.260  0.889  0.090
Ca  0.240  0.389  0.410
Ca  0.244  0.314  0.736
Ca  0.256  0.814  0.764
Ca  0.756  0.686  0.264
Ca  0.744  0.186  0.236
O  0.356  0.159  0.336
O  0.144  0.659  0.164
O  0.644  0.841  0.664
O  0.856  0.341  0.836
O  0.487  0.900  0.264
O  0.013  0.400  0.236
O  0.513  0.100  0.736
O  0.987  0.600  0.764
O  0.030  0.970  0.255
O  0.470  0.470  0.245
O  0.970  0.030  0.745
O  0.530  0.530  0.755
O  0.156  0.745  0.590
O  0.344  0.245  0.910
O  0.844  0.255  0.410
O  0.656  0.755  0.090
O  0.729  0.583  0.934
O  0.771  0.083  0.566
O  0.271  0.417  0.066
O  0.229  0.917  0.434
O  0.973  0.843  0.950
O  0.527  0.343  0.550
O  0.026  0.158  0.050
O  0.474  0.658  0.450
O  0.510  0.854  0.915
O  0.990  0.354  0.585
O  0.489  0.145  0.085
O  0.011  0.645  0.415

Properties
ΔE_f (raw) = -3243 kJ/mol of formula units
N(E_F) = 0.0 states/eV/f.u.
space-group type = No. 4
size of the total moment = 0.00 Bohr magnetons per cell


Ca2P2O7 | SCAN | PBEsol geometry

a b c (Å): 6.668 6.668 24.118
angles (deg): 90.00 90.00 90.00
Fractional positions:
Ca  0.791  0.262  0.000
Ca  0.209  0.738  0.500
Ca  0.738  0.791  0.250
Ca  0.262  0.209  0.750
Ca  0.544  0.156  0.146
Ca  0.456  0.844  0.646
Ca  0.844  0.544  0.396
Ca  0.156  0.456  0.896
Ca  0.362  0.895  0.003
Ca  0.638  0.105  0.503
Ca  0.105  0.362  0.253
Ca  0.895  0.638  0.753
Ca  0.138  0.765  0.138
Ca  0.862  0.235  0.638
Ca  0.235  0.138  0.388
Ca  0.765  0.862  0.888
O  0.900  0.584  0.968
O  0.100  0.416  0.468
O  0.416  0.900  0.218
O  0.584  0.100  0.718
O  0.736  0.912  0.990
O  0.264  0.088  0.490
O  0.088  0.736  0.240
O  0.912  0.264  0.740
O  0.053  0.821  0.043
O  0.947  0.179  0.543
O  0.179  0.053  0.293
O  0.821  0.947  0.793
O  0.738  0.617  0.058
O  0.262  0.383  0.558
O  0.383  0.738  0.308
O  0.617  0.262  0.808
O  0.527  0.502  0.138
O  0.473  0.498  0.638
O  0.498  0.527  0.388
O  0.502  0.473  0.888
O  0.462  0.841  0.095
O  0.538  0.159  0.595
O  0.159  0.462  0.345
O  0.841  0.538  0.845
O  0.776  0.797  0.151
O  0.224  0.203  0.651
O  0.203  0.776  0.401
O  0.797  0.224  0.901
O  0.342  0.549  0.990
O  0.658  0.451  0.490
O  0.451  0.342  0.240
O  0.549  0.658  0.740
O  0.463  0.223  0.036
O  0.537  0.777  0.536
O  0.777  0.463  0.286
O  0.223  0.537  0.786
O  0.146  0.224  0.980
O  0.854  0.776  0.480
O  0.776  0.146  0.230
O  0.224  0.854  0.730
O  0.157  0.412  0.071
O  0.843  0.588  0.571
O  0.588  0.157  0.321
O  0.412  0.843  0.821
O  0.022  0.445  0.163
O  0.978  0.555  0.663
O  0.555  0.022  0.413
O  0.445  0.978  0.913
O  0.186  0.116  0.139
O  0.814  0.884  0.639
O  0.884  0.186  0.389
O  0.116  0.814  0.889
O  0.850  0.206  0.095
O  0.150  0.794  0.595
O  0.794  0.850  0.345
O  0.206  0.150  0.845
P  0.869  0.743  0.013
P  0.131  0.257  0.513
P  0.257  0.869  0.263
P  0.743  0.131  0.763
P  0.621  0.688  0.114
P  0.379  0.312  0.614
P  0.312  0.621  0.364
P  0.688  0.379  0.864
P  0.286  0.353  0.016
P  0.714  0.647  0.516
P  0.647  0.286  0.266
P  0.353  0.714  0.766
P  0.045  0.282  0.120
P  0.955  0.718  0.620
P  0.718  0.045  0.370
P  0.282  0.955  0.870

Properties
ΔE_f (raw) = -3251 kJ/mol of formula units
N(E_F) = 0.0 states/eV/f.u.
space-group type = No. 76
size of the total moment = 0.00 Bohr magnetons per cell


Ca5P3O12 | SCAN | PBEsol geometry

a b c (Å): 6.757 9.479 9.479
angles (deg): 120.00 90.00 90.00
Fractional positions:
Ca  0.998  0.667  0.333
Ca  0.498  0.333  0.667
Ca  0.002  0.333  0.667
Ca  0.502  0.667  0.333
Ca  0.250  0.251  0.249
Ca  0.250  0.751  0.002
Ca  0.250  0.998  0.749
Ca  0.750  0.749  0.751
Ca  0.750  0.249  0.998
Ca  0.750  0.002  0.251
P  0.250  0.403  0.031
P  0.250  0.969  0.371
P  0.250  0.629  0.597
P  0.750  0.597  0.969
P  0.750  0.031  0.629
P  0.750  0.371  0.403
O  0.250  0.335  0.846
O  0.250  0.154  0.489
O  0.250  0.511  0.665
O  0.750  0.665  0.154
O  0.750  0.846  0.511
O  0.750  0.489  0.335
O  0.250  0.592  0.126
O  0.250  0.874  0.466
O  0.250  0.534  0.408
O  0.750  0.408  0.874
O  0.750  0.126  0.534
O  0.750  0.466  0.592
O  0.066  0.346  0.087
O  0.066  0.913  0.259
O  0.066  0.741  0.654
O  0.566  0.654  0.913
O  0.566  0.087  0.741
O  0.566  0.259  0.346
O  0.934  0.654  0.913
O  0.934  0.087  0.741
O  0.934  0.259  0.346
O  0.434  0.346  0.087
O  0.434  0.913  0.259
O  0.434  0.741  0.654

Properties
ΔE_f (raw) = -6042 kJ/mol of formula units
N(E_F) = 0.8 states/eV/f.u.
space-group type = No. 176
size of the total moment = 0.00 Bohr magnetons per cell


CaP2PdO | SCAN | PBEsol geometry

a b c (Å): 3.963 5.098 5.098
angles (deg): 90.00 90.00 90.00
Fractional positions:
P  0.000  0.000  0.500
P  0.000  0.500  0.000
Ca  0.000  0.000  0.000
O  0.500  0.000  0.000
Pd  0.500  0.500  0.500

Properties
ΔE_f (raw) = 401 kJ/mol of formula units
N(E_F) = 4.8 states/eV/f.u.
space-group type = No. 123
size of the total moment = 1.95 Bohr magnetons per cell


CaP2PtO | SCAN | PBEsol geometry

a b c (Å): 3.860 5.047 5.047
angles (deg): 90.00 90.00 90.00
Fractional positions:
P  0.000  0.000  0.500
P  0.000  0.500  0.000
Ca  0.000  0.000  0.000
O  0.500  0.000  0.000
Pt  0.500  0.500  0.500

Properties
ΔE_f (raw) = 496 kJ/mol of formula units
N(E_F) = 4.2 states/eV/f.u.
space-group type = No. 123
size of the total moment = 1.38 Bohr magnetons per cell


CaP2SO | SCAN | PBEsol geometry

a b c (Å): 3.835 3.835 6.228
angles (deg): 90.00 90.00 90.00
Fractional positions:
P  0.000  0.500  0.000
P  0.500  0.000  0.000
Ca  0.500  0.500  0.500
S  0.000  0.000  0.500
O  0.000  0.000  0.000

Properties
ΔE_f (raw) = -172 kJ/mol of formula units
N(E_F) = 2.4 states/eV/f.u.
space-group type = No. 123
size of the total moment = 0.00 Bohr magnetons per cell


CaSb2P2O9 | SCAN | PBEsol geometry

a b c (Å): 6.921 6.990 15.642
angles (deg): 90.00 90.00 90.00
Fractional positions:
Ca  0.750  0.918  0.781
Ca  0.750  0.582  0.281
Ca  0.250  0.418  0.719
Ca  0.250  0.082  0.219
Sb  0.750  0.400  0.884
Sb  0.250  0.600  0.116
Sb  0.250  0.900  0.616
Sb  0.750  0.100  0.384
Sb  0.500  0.000  0.000
Sb  0.500  0.500  0.500
Sb  0.000  0.500  0.500
Sb  0.000  0.000  0.000
P  0.250  0.401  0.919
P  0.750  0.599  0.081
P  0.750  0.901  0.581
P  0.250  0.099  0.419
P  0.750  0.418  0.693
P  0.750  0.082  0.193
P  0.250  0.918  0.807
P  0.250  0.582  0.307
O  0.063  0.597  0.361
O  0.563  0.403  0.639
O  0.937  0.097  0.139
O  0.437  0.903  0.861
O  0.937  0.403  0.639
O  0.437  0.597  0.361
O  0.063  0.903  0.861
O  0.563  0.097  0.139
O  0.250  0.275  0.484
O  0.750  0.725  0.516
O  0.750  0.775  0.016
O  0.250  0.225  0.984
O  0.750  0.118  0.922
O  0.250  0.882  0.078
O  0.250  0.618  0.578
O  0.750  0.382  0.422
O  0.750  0.248  0.759
O  0.250  0.752  0.241
O  0.250  0.748  0.741
O  0.750  0.252  0.259
O  0.427  0.116  0.359
O  0.927  0.884  0.641
O  0.573  0.616  0.141
O  0.073  0.384  0.859
O  0.573  0.884  0.641
O  0.073  0.116  0.359
O  0.427  0.384  0.859
O  0.927  0.616  0.141
O  0.750  0.414  0.030
O  0.250  0.099  0.752
O  0.250  0.401  0.252
O  0.750  0.599  0.748
O  0.750  0.086  0.530
O  0.250  0.914  0.470
O  0.250  0.586  0.970
O  0.750  0.901  0.248

Properties
ΔE_f (raw) = -3024 kJ/mol of formula units
N(E_F) = 0.0 states/eV/f.u.
space-group type = No. 62
size of the total moment = 0.00 Bohr magnetons per cell


CaScPO2 | SCAN | PBEsol geometry

a b c (Å): 4.087 4.087 5.061
angles (deg): 90.00 90.00 90.00
Fractional positions:
Sc  0.000  0.000  0.000
P  0.000  0.000  0.500
Ca  0.500  0.500  0.500
O  0.000  0.500  0.000
O  0.500  0.000  0.000

Properties
ΔE_f (raw) = -876 kJ/mol of formula units
N(E_F) = 2.4 states/eV/f.u.
space-group type = No. 123
size of the total moment = 1.88 Bohr magnetons per cell


CaSn3P3O13 | SCAN | PBEsol geometry

a b c (Å): 6.749 7.636 11.006
angles (deg): 98.70 90.00 90.00
Fractional positions:
Ca  0.750  0.348  0.795
Ca  0.250  0.652  0.205
Sn  0.250  0.675  0.754
Sn  0.750  0.325  0.246
Sn  0.250  0.254  0.544
Sn  0.000  0.000  0.000
Sn  0.750  0.746  0.456
Sn  0.500  0.000  0.000
P  0.250  0.804  0.480
P  0.750  0.196  0.520
P  0.250  0.235  0.244
P  0.750  0.765  0.756
P  0.750  0.662  0.092
P  0.250  0.338  0.908
O  0.750  0.578  0.215
O  0.928  0.233  0.608
O  0.250  0.123  0.346
O  0.942  0.780  0.104
O  0.750  0.341  0.429
O  0.750  0.134  0.096
O  0.250  0.659  0.571
O  0.442  0.220  0.896
O  0.250  0.981  0.567
O  0.750  0.019  0.433
O  0.432  0.359  0.242
O  0.250  0.866  0.904
O  0.932  0.641  0.758
O  0.750  0.522  0.981
O  0.750  0.877  0.654
O  0.058  0.220  0.896
O  0.572  0.233  0.608
O  0.072  0.767  0.392
O  0.068  0.359  0.242
O  0.250  0.422  0.785
O  0.750  0.902  0.881
O  0.250  0.098  0.119
O  0.568  0.641  0.758
O  0.558  0.780  0.104
O  0.428  0.767  0.392
O  0.250  0.478  0.019

Properties
ΔE_f (raw) = -4268 kJ/mol of formula units
N(E_F) = 0.8 states/eV/f.u.
space-group type = No. 11
size of the total moment = 0.00 Bohr magnetons per cell


CaSnP4O12 | SCAN | PBEsol geometry

a b c (Å): 7.843 7.843 10.519
angles (deg): 99.60 107.60 111.76
Fractional positions:
Ca  0.279  0.029  0.250
Ca  0.721  0.971  0.750
Sn  0.500  0.500  0.500
Sn  0.500  0.000  0.000
P  0.487  0.678  0.179
P  0.999  0.307  0.321
P  0.513  0.322  0.821
P  0.001  0.693  0.679
P  0.242  0.272  0.977
P  0.795  0.265  0.523
P  0.758  0.728  0.023
P  0.205  0.735  0.477
O  0.690  0.743  0.153
O  0.090  0.537  0.347
O  0.310  0.257  0.847
O  0.910  0.463  0.653
O  0.327  0.502  0.039
O  0.963  0.288  0.461
O  0.673  0.498  0.961
O  0.037  0.712  0.539
O  0.517  0.618  0.308
O  0.810  0.210  0.192
O  0.483  0.382  0.692
O  0.190  0.790  0.808
O  0.423  0.838  0.173
O  0.165  0.250  0.327
O  0.577  0.162  0.827
O  0.835  0.750  0.673
O  0.349  0.198  0.084
O  0.614  0.265  0.416
O  0.651  0.802  0.916
O  0.386  0.735  0.584
O  0.021  0.183  0.918
O  0.765  0.104  0.582
O  0.979  0.817  0.082
O  0.235  0.896  0.418

Properties
ΔE_f (raw) = -4222 kJ/mol of formula units
N(E_F) = 0.0 states/eV/f.u.
space-group type = No. 15
size of the total moment = 0.00 Bohr magnetons per cell


CaSn2P2O10 | SCAN | PBEsol geometry

a b c (Å): 7.000 7.000 9.026
angles (deg): 102.97 102.97 114.92
Fractional positions:
Ca  0.495  0.995  0.500
Ca  0.245  0.245  0.000
Sn  0.870  0.620  0.250
Sn  0.370  0.620  0.750
Sn  0.870  0.120  0.250
Sn  0.870  0.620  0.750
P  0.040  0.040  0.590
P  0.700  0.200  0.910
P  0.450  0.450  0.410
P  0.290  0.790  0.090
O  0.564  0.545  0.295
O  0.668  0.669  0.847
O  0.316  0.606  0.979
O  0.795  0.314  0.795
O  0.221  0.240  0.294
O  0.423  0.634  0.521
O  0.072  0.572  0.653
O  0.822  0.822  0.153
O  0.919  0.418  0.347
O  0.177  0.696  0.206
O  0.250  0.269  0.705
O  0.490  0.971  0.794
O  0.946  0.927  0.706
O  0.152  0.863  0.979
O  0.113  0.902  0.479
O  0.884  0.173  0.021
O  0.856  0.066  0.479
O  0.627  0.338  0.021
O  0.519  0.000  0.205
O  0.588  0.377  0.521

Properties
ΔE_f (raw) = -3425 kJ/mol of formula units
N(E_F) = 0.0 states/eV/f.u.
space-group type = No. 70
size of the total moment = 0.00 Bohr magnetons per cell